RbVBP2HO9: optimized geometry, PBE with a Hubbard U.

## Properties
For the total energy, the calculation gives -427.4 eV per cell. The density of states at the Fermi level is 0.00 states/eV per atom. The space group is P2_1/c (14). The total moment is 2.0 μB per formula unit.

Lattice parameters (Å, degrees): 9.573 8.556 9.858 90.00 102.94 90.00
Element x y z (fractional)
Rb (0.190, 0.104, 0.068)
Rb (0.190, 0.396, 0.568)
Rb (0.810, 0.604, 0.432)
Rb (0.810, 0.896, 0.932)
V (0.205, 0.656, 0.940)
V (0.205, 0.844, 0.440)
V (0.795, 0.156, 0.560)
V (0.795, 0.344, 0.060)
B (0.337, 0.052, 0.699)
B (0.337, 0.448, 0.199)
B (0.663, 0.552, 0.801)
B (0.663, 0.948, 0.301)
P (0.075, 0.562, 0.212)
P (0.075, 0.938, 0.712)
P (0.420, 0.737, 0.724)
P (0.420, 0.763, 0.224)
P (0.580, 0.237, 0.776)
P (0.580, 0.263, 0.276)
P (0.925, 0.062, 0.288)
P (0.925, 0.438, 0.788)
H (0.396, 0.070, 0.509)
H (0.396, 0.430, 0.009)
H (0.604, 0.570, 0.991)
H (0.604, 0.930, 0.491)
O (0.069, 0.522, 0.805)
O (0.069, 0.978, 0.305)
O (0.084, 0.664, 0.085)
O (0.084, 0.836, 0.585)
O (0.099, 0.653, 0.350)
O (0.099, 0.847, 0.850)
O (0.196, 0.069, 0.732)
O (0.196, 0.431, 0.232)
O (0.311, 0.044, 0.543)
O (0.311, 0.456, 0.043)
O (0.351, 0.635, 0.818)
O (0.351, 0.865, 0.318)
O (0.354, 0.711, 0.569)
O (0.354, 0.789, 0.069)
O (0.416, 0.197, 0.748)
O (0.416, 0.303, 0.248)
O (0.419, 0.586, 0.265)
O (0.419, 0.914, 0.765)
O (0.581, 0.086, 0.235)
O (0.581, 0.414, 0.735)
O (0.584, 0.697, 0.752)
O (0.584, 0.803, 0.252)
O (0.646, 0.211, 0.931)
O (0.646, 0.289, 0.431)
O (0.649, 0.135, 0.682)
O (0.649, 0.365, 0.182)
O (0.689, 0.544, 0.957)
O (0.689, 0.956, 0.457)
O (0.804, 0.569, 0.768)
O (0.804, 0.931, 0.268)
O (0.901, 0.153, 0.150)
O (0.901, 0.347, 0.650)
O (0.916, 0.164, 0.415)
O (0.916, 0.336, 0.915)
O (0.931, 0.022, 0.695)
O (0.931, 0.478, 0.195)